(1)
ScZnCdCu | PBE | relaxed

Cell: 4.594 4.594 4.594 Å, 60.00 60.00 60.00°
Positions (direct):
Sc  0.000  0.000  0.000
Zn  0.750  0.750  0.750
Cd  0.500  0.500  0.500
Cu  0.250  0.250  0.250

Values from the calculation:
Energy of formation from the pure elements (eV/atom): -0.248
Raw total energy (eV/cell): -13.61

=====

(2)
Sc4Zn2CdCu | PBE | relaxed

Cell: 8.268 8.268 8.268 Å, 33.65 33.65 33.65°
Positions (direct):
Sc  0.118  0.118  0.118
Sc  0.370  0.370  0.370
Sc  0.630  0.630  0.630
Sc  0.882  0.882  0.882
Zn  0.247  0.247  0.247
Zn  0.753  0.753  0.753
Cd  0.500  0.500  0.500
Cu  0.000  0.000  0.000

Values from the calculation:
Energy of formation from the pure elements (eV/atom): -0.315
Raw total energy (eV/cell): -35.40

=====

(3)
ZrScCdCu | PBE | relaxed

Cell: 3.248 3.248 7.485 Å, 90.00 90.00 90.00°
Positions (direct):
Zr  0.000  0.000  0.000
Sc  0.000  0.000  0.561
Cd  0.500  0.500  0.285
Cu  0.500  0.500  0.768

Values from the calculation:
Polymorph energy (0 for the lowest one) (eV/atom): 0.0000
Energy of formation from the pure elements (eV/atom): -0.181
Raw total energy (eV/cell): -20.61

=====

(4)
ZrScCdCu | PBE | relaxed

Cell: 4.829 4.829 4.829 Å, 60.00 60.00 60.00°
Positions (direct):
Zr  0.000  0.000  0.000
Sc  0.500  0.500  0.500
Cd  0.250  0.250  0.250
Cu  0.750  0.750  0.750

Values from the calculation:
Polymorph energy (0 for the lowest one) (eV/atom): 0.0820
Energy of formation from the pure elements (eV/atom): -0.099
Raw total energy (eV/cell): -20.29

=====

(5)
Cd2Cu2Se | PBE | relaxed

Cell: 8.241 8.241 2.788 Å, 90.00 90.00 90.00°
Positions (direct):
Cd  0.187  0.313  0.000
Cd  0.313  0.813  0.000
Cd  0.687  0.187  0.000
Cd  0.813  0.687  0.000
Cu  0.105  0.605  0.500
Cu  0.395  0.105  0.500
Cu  0.605  0.895  0.500
Cu  0.895  0.395  0.500
Se  0.000  0.000  0.000
Se  0.500  0.500  0.000

Values from the calculation:
Polymorph energy (0 for the lowest one) (eV/atom): 0.1171
Energy relative to the elements, uncorrected (meV/atom): 178
Raw total energy (eV/cell): -25.23

=====

(6)
CdCuSe | PBE | relaxed

Cell: 6.341 6.341 6.341 Å, 151.42 151.42 40.85°
Positions (direct):
Cd  0.000  0.000  0.000
Cu  0.345  0.345  0.000
Se  0.727  0.727  0.000

Values from the calculation:
Polymorph energy (0 for the lowest one) (eV/atom): 0.2985
Energy relative to the elements, uncorrected (meV/atom): 156
Raw total energy (eV/cell): -8.03

=====

(7)
CdCuSe | PBE | relaxed

Cell: 4.435 4.435 4.435 Å, 60.00 60.00 60.00°
Positions (direct):
Cd  0.000  0.000  0.000
Cu  0.250  0.250  0.250
Se  0.500  0.500  0.500

Values from the calculation:
Polymorph energy (0 for the lowest one) (eV/atom): 0.1252
Energy relative to the elements, uncorrected (meV/atom): -17
Raw total energy (eV/cell): -8.55

=====

(8)
CdCu2Se | PBE | relaxed

Cell: 6.536 6.536 6.536 Å, 150.06 147.71 44.61°
Positions (direct):
Cd  0.000  0.000  0.000
Cu  0.250  0.750  0.500
Cu  0.599  0.599  0.000
Se  0.768  0.268  0.500

Values from the calculation:
Polymorph energy (0 for the lowest one) (eV/atom): 0.0947
Energy relative to the elements, uncorrected (meV/atom): 84
Raw total energy (eV/cell): -12.25

=====

(9)
Cd2CuSe | PBE | relaxed

Cell: 4.886 4.886 4.886 Å, 60.00 60.00 60.00°
Positions (direct):
Cd  0.000  0.000  0.000
Cd  0.250  0.250  0.250
Cu  0.750  0.750  0.750
Se  0.500  0.500  0.500

Values from the calculation:
Energy relative to the elements, uncorrected (meV/atom): 242
Raw total energy (eV/cell): -8.44

=====

(10)
Cd2CuSe | PBE | relaxed

Cell: 3.695 3.695 5.839 Å, 90.00 90.00 90.00°
Positions (direct):
Cd  0.000  0.000  0.237
Cd  0.000  0.000  0.763
Cu  0.500  0.500  0.000
Se  0.500  0.500  0.500

Values from the calculation:
Energy relative to the elements, uncorrected (meV/atom): 55
Raw total energy (eV/cell): -9.19

=====

(11)
CdCu2Se3 | PBE | relaxed

Cell: 7.018 7.018 7.001 Å, 99.34 99.34 120.23°
Positions (direct):
Cd  0.088  0.912  0.500
Cd  0.912  0.088  0.000
Cu  0.254  0.746  0.988
Cu  0.412  0.575  0.488
Cu  0.575  0.412  0.988
Cu  0.746  0.254  0.488
Se  0.129  0.590  0.628
Se  0.323  0.487  0.128
Se  0.487  0.323  0.628
Se  0.590  0.129  0.128
Se  0.757  0.954  0.597
Se  0.954  0.757  0.097

Values from the calculation:
Energy relative to the elements, uncorrected (meV/atom): -257
Raw total energy (eV/cell): -42.21

=====

(12)
Cd2CuSe | PBE | relaxed

Cell: 6.553 6.553 6.553 Å, 35.98 35.98 35.98°
Positions (direct):
Cd  0.242  0.242  0.242
Cd  0.758  0.758  0.758
Cu  0.500  0.500  0.500
Se  0.000  0.000  0.000

Values from the calculation:
Energy relative to the elements, uncorrected (meV/atom): -2
Raw total energy (eV/cell): -9.42

=====

Number 1: ρ 6.94 g cm⁻³, N(E_F) 2.2 states/eV/f.u., total moment 0.00 μB per formula unit. Number 2: ρ 5.22 g cm⁻³, N(E_F) 5.6 states/eV/f.u., total moment 0.00 μB per formula unit. Number 3: ρ 6.56 g cm⁻³, N(E_F) 3.8 states/eV/f.u., total moment 0.66 μB per formula unit. Number 4: ρ 6.51 g cm⁻³, N(E_F) 4.7 states/eV/f.u., total moment 0.91 μB per formula unit. Number 5: ρ 7.56 g cm⁻³, N(E_F) 3.1 states/eV/f.u., total moment 0.00 μB per formula unit. Number 6: ρ 7.27 g cm⁻³, N(E_F) 1.6 states/eV/f.u., total moment 0.00 μB per formula unit. Number 7: ρ 6.86 g cm⁻³, N(E_F) 1.0 states/eV/f.u., total moment 0.00 μB per formula unit. Number 8: ρ 7.13 g cm⁻³, N(E_F) 1.2 states/eV/f.u., total moment 0.00 μB per formula unit. Number 9: ρ 7.39 g cm⁻³, N(E_F) 2.8 states/eV/f.u., total moment 0.00 μB per formula unit. Number 10: ρ 7.65 g cm⁻³, N(E_F) 0.8 states/eV/f.u., total moment 0.00 μB per formula unit. Number 11: ρ 5.62 g cm⁻³, N(E_F) 5.0 states/eV/f.u., total moment 0.00 μB per formula unit. Number 12: ρ 7.02 g cm⁻³, N(E_F) 1.6 states/eV/f.u., total moment 0.00 μB per formula unit.